Entry 1:
! AcNdPbAu (GGA-PBE, relaxed); values from VASP
&SYSTEM
  ibrav = 0, nat = 4, ntyp = 4
/
ATOMIC_SPECIES
Ac 227.00 Ac.upf
Nd 144.24 Nd.upf
Pb 207.20 Pb.upf
Au 196.97 Au.upf
ATOMIC_POSITIONS crystal
Ac 0.000 0.000 0.000
Nd 0.500 0.500 0.500
Pb 0.750 0.750 0.750
Au 0.250 0.250 0.250
CELL_PARAMETERS angstrom
0.000 3.950 3.950
3.950 0.000 3.950
3.950 3.950 0.000
! Density (Mg/m³): 10.445
! Energy of formation from the pure elements (kJ/mol of atoms): -56.5

Entry 2:
! AcNdPdAu (GGA-PBE, relaxed); values from VASP
&SYSTEM
  ibrav = 0, nat = 4, ntyp = 4
/
ATOMIC_SPECIES
Ac 227.00 Ac.upf
Nd 144.24 Nd.upf
Pd 106.42 Pd.upf
Au 196.97 Au.upf
ATOMIC_POSITIONS crystal
Ac 0.000 0.000 0.000
Nd 0.500 0.500 0.500
Pd 0.250 0.250 0.250
Au 0.750 0.750 0.750
CELL_PARAMETERS angstrom
0.000 3.773 3.773
3.773 0.000 3.773
3.773 3.773 0.000
! Density (Mg/m³): 10.428
! Energy of formation from the pure elements (kJ/mol of atoms): -68.4